Dy5YP6: optimized geometry, PBE.

Values from the calculation:
Formation energy in eV/f.u.: -19.42
Magnetic moment in μB/cell: 0.0
Calculated total energy in eV per cell: -81.35

a b c (Å): 6.943 6.943 6.943
angles (deg): 99.60 99.60 119.98
Atoms (fractional coordinates):
Dy 0.000 0.000 0.000
Dy 0.167 0.833 0.500
Dy 0.333 0.667 0.000
Dy 0.667 0.333 0.000
Dy 0.833 0.167 0.500
Y 0.500 0.500 0.500
P 0.083 0.417 0.250
P 0.250 0.250 0.750
P 0.417 0.083 0.250
P 0.583 0.917 0.750
P 0.750 0.750 0.250
P 0.917 0.583 0.750